Entry 1:
Here is YSb2P2 after structural relaxation from the Alexandria database. Energies are from PBE-GGA.

POSCAR file:
```
YSb2P2
1.0
-3.6266 -0.8933 -1.6370
1.4699 -3.5723 -1.3069
-3.1965 -5.4668 4.9854
Y Sb P
1 2 2
direct
0.0000 0.0000 0.0000
0.7500 0.2500 0.5000
0.2500 0.7500 0.5000
0.4271 0.4271 0.1457
0.5729 0.5729 0.8543
```

Values from the calculation:
The symmetry is No. 139. Its relative energy among the computed polymorphs is 221 meV per atom. The density comes out at 5232 kg/m3. The formation energy from raw total energies is -0.13 eV per atom.

Entry 2:
Here is LiYScSn after structural relaxation from the Alexandria database. Energies are from PBE-GGA.

POSCAR file:
```
LiYScSn
1.0
-4.9484 0.0752 1.1297
-2.2664 -4.1888 1.7567
-1.5015 -0.2322 4.8436
Y Sc Sn Li
1 1 1 1
direct
0.7500 0.7500 0.7500
0.2500 0.2500 0.2500
0.5000 0.5000 0.5000
0.0000 0.0000 0.0000
```

Values from the calculation:
The symmetry is No. 216. The density comes out at 4659 kg/m3. The value obtained for the formation energy from the elements is -416 meV/atom.

Entry 3:
Here is Ba5CdAu4 after structural relaxation from the Alexandria database. Energies are from PBE-GGA.

POSCAR file:
```
Ba5CdAu4
1.0
-0.3987 -3.6154 1.8155
3.9875 -0.6594 -0.4375
3.4559 8.7867 18.2563
Ba Cd Au
5 1 4
direct
0.5000 0.5000 0.1114
0.5000 0.5000 0.3049
0.5000 0.5000 0.5000
0.5000 0.5000 0.6951
0.5000 0.5000 0.8886
0.0000 0.0000 0.0000
0.0000 0.0000 0.2056
0.0000 0.0000 0.4026
0.0000 0.0000 0.5974
0.0000 0.0000 0.7944
```

Values from the calculation:
The symmetry is No. 123. The density comes out at 7758 kg/m3. The value obtained for the formation energy from the elements is -609 meV/atom.

Entry 4:
Here is GaB3As after structural relaxation from the Alexandria database. Energies are from PBE-GGA.

POSCAR file:
```
GaB3As
1.0
-1.1048 3.9502 0.6799
-1.4754 -1.0566 3.7409
3.7269 0.7528 1.6825
As B Ga
1 3 1
direct
0.5000 0.5000 0.5000
0.0000 0.5000 0.0000
0.0000 0.0000 0.5000
0.5000 0.0000 0.0000
0.0000 0.0000 0.0000
```

Values from the calculation:
The symmetry is No. 221. Its relative energy among the computed polymorphs is 134 meV per atom. The density comes out at 4091 kg/m3. The value obtained for the formation energy from the elements is 1916 meV/atom.

Entry 5:
Here is BeCu3Pt after structural relaxation from the Alexandria database. Energies are from PBE-GGA.

POSCAR file:
```
BeCu3Pt
1.0
4.6719 0.0000 0.0000
0.0000 4.6719 0.0000
0.0000 0.0000 4.6719
Be Cu Pt
1 3 1
direct
0.5000 0.5000 0.5000
0.0000 0.5000 0.0000
0.0000 0.0000 0.5000
0.5000 0.0000 0.0000
0.0000 0.0000 0.0000
```

Values from the calculation:
The symmetry is No. 221. Its relative energy among the computed polymorphs is 845 meV per atom. The density comes out at 6428 kg/m3. The value obtained for the formation energy from the elements is 1197 meV/atom.

Entry 6:
Here is RbTi2Tc after structural relaxation from the Alexandria database. Energies are from PBE-GGA.

POSCAR file:
```
RbTi2Tc
1.0
0.2902 0.0234 4.7647
-3.8938 0.8599 2.6242
-1.9982 -3.5202 2.5303
Tc Rb Ti
1 1 2
direct
0.5000 0.5000 0.5000
0.0000 0.0000 0.0000
0.2500 0.2500 0.2500
0.7500 0.7500 0.7500
```

Values from the calculation:
The symmetry is No. 225. Its relative energy among the computed polymorphs is 38 meV per atom. The density comes out at 6028 kg/m3. The value obtained for the formation energy from the elements is 1165 meV/atom.

Entry 7:
Here is Y2MgHg8 after structural relaxation from the Alexandria database. Energies are from PBE-GGA.

POSCAR file:
```
Y2MgHg8
1.0
-1.3441 4.5893 0.0205
-3.2812 -0.9344 -5.9511
-4.7549 -3.9129 6.4575
Y Mg Hg
2 1 8
direct
0.7877 0.3196 0.5755
0.2123 0.6804 0.4245
0.5000 0.0000 0.0000
0.3945 0.5811 0.7891
0.6470 0.8819 0.2939
0.8368 0.8121 0.6737
0.9804 0.2685 0.9608
0.1632 0.1879 0.3263
0.3530 0.1181 0.7061
0.6055 0.4189 0.2109
0.0196 0.7315 0.0392
```

Values from the calculation:
The symmetry is No. 12. The density comes out at 11250 kg/m3. The value obtained for the formation energy from the elements is -251 meV/atom.

Entry 8:
Here is Y3Er3In after structural relaxation from the Alexandria database. Energies are from PBE-GGA.

POSCAR file:
```
Y3Er3In
1.0
-2.2615 -4.0567 2.9450
3.5215 -6.3080 -5.9851
4.9867 2.6559 7.4879
Y Er In
6 6 2
direct
0.2500 0.5211 0.6265
0.2500 0.1053 0.4789
0.2500 0.3735 0.8948
0.7500 0.4789 0.3735
0.7500 0.8947 0.5211
0.7500 0.6265 0.1052
0.7500 0.7607 0.8231
0.7500 0.0625 0.2393
0.7500 0.1768 0.9376
0.2500 0.2393 0.1769
0.2500 0.9375 0.7607
0.2500 0.8232 0.0624
0.7500 0.3333 0.6668
0.2500 0.6667 0.3332
```

Values from the calculation:
The symmetry is No. 176. The density comes out at 7000 kg/m3. The value obtained for the formation energy from the elements is -121 meV/atom.

Q: Number 4 is which compound?
A: GaB3As

Q: What is the formula in the eighth record?
A: Y3Er3In

Q: Among the records above, which one has the lowest density?
A: GaB3As